(1)
CuRu3 | Alexandria | PBE-GGA | relaxed; space group = No. 12; crystal system = monoclinic
1.0
8.935 0.000 0.000
0.000 2.692 0.000
-0.781 0.000 4.531
Cu Ru
2 6
Direct
0.000 0.000 0.000
0.500 0.500 0.000
0.000 0.500 0.500
0.246 0.000 0.749
0.254 0.500 0.251
0.500 0.000 0.500
0.746 0.500 0.749
0.754 0.000 0.251



(2)
CuRu5 | Alexandria | PBE-GGA | relaxed; energy above the lowest structure with this stoichiometry = 0.696 eV/atom; space group = No. 191; crystal system = hexagonal
1.0
4.954 0.000 0.000
-2.477 4.290 0.000
0.000 0.000 4.501
Cu Ru
1 5
Direct
0.000 0.000 0.000
0.000 0.500 0.500
0.333 0.667 0.000
0.500 0.000 0.500
0.500 0.500 0.500
0.667 0.333 0.000



(3)
CuRu8 | Alexandria | PBE-GGA | relaxed; space group = No. 139; crystal system = tetragonal
1.0
-4.051 4.051 1.898
4.051 -4.051 1.898
4.051 4.051 -1.898
Cu Ru
1 8
Direct
0.000 0.000 0.000
0.000 0.337 0.337
0.000 0.663 0.663
0.330 0.330 0.661
0.330 0.670 0.000
0.337 0.000 0.337
0.663 0.000 0.663
0.670 0.330 0.000
0.670 0.670 0.339



(4)
Cu3Ru5 | Alexandria | PBE-GGA | relaxed; energy above the lowest structure with this stoichiometry = 0.000 eV/atom; space group = No. 65; crystal system = orthorhombic
1.0
7.401 0.000 0.000
0.000 7.825 0.000
0.000 0.000 3.703
Cu Ru
6 10
Direct
0.000 0.000 0.000
0.241 0.000 0.500
0.259 0.500 0.500
0.500 0.500 0.000
0.741 0.500 0.500
0.759 0.000 0.500
0.000 0.258 0.500
0.000 0.500 0.000
0.000 0.742 0.500
0.250 0.250 0.000
0.250 0.750 0.000
0.500 0.000 0.000
0.500 0.242 0.500
0.500 0.758 0.500
0.750 0.250 0.000
0.750 0.750 0.000



(5)
CuRu3 | Alexandria | PBE-GGA | relaxed; space group = No. 65; crystal system = orthorhombic
1.0
5.344 0.000 0.000
0.000 7.589 0.000
0.000 0.000 2.688
Cu Ru
2 6
Direct
0.000 0.000 0.000
0.500 0.500 0.000
0.000 0.500 0.000
0.250 0.250 0.500
0.250 0.750 0.500
0.500 0.000 0.000
0.750 0.250 0.500
0.750 0.750 0.500



(6)
CuRu2 | Alexandria | PBE-GGA | relaxed; energy above the lowest structure with this stoichiometry = 0.266 eV/atom; space group = No. 140; crystal system = tetragonal
1.0
6.027 0.000 0.000
0.000 6.027 0.000
0.000 0.000 4.486
Cu Ru
4 8
Direct
0.000 0.000 0.250
0.000 0.000 0.750
0.500 0.500 0.250
0.500 0.500 0.750
0.143 0.357 0.000
0.143 0.643 0.500
0.357 0.143 0.500
0.357 0.857 0.000
0.643 0.143 0.000
0.643 0.857 0.500
0.857 0.357 0.500
0.857 0.643 0.000



(7)
CuRu3 | Alexandria | PBE-GGA | relaxed; space group = No. 194; crystal system = hexagonal
1.0
5.371 0.000 0.000
-2.685 4.651 0.000
0.000 0.000 8.730
Cu Ru
4 12
Direct
0.000 0.000 0.000
0.000 0.000 0.500
0.333 0.667 0.250
0.667 0.333 0.750
0.000 0.500 0.000
0.000 0.500 0.500
0.162 0.325 0.750
0.162 0.838 0.750
0.325 0.162 0.250
0.500 0.000 0.000
0.500 0.000 0.500
0.500 0.500 0.000
0.500 0.500 0.500
0.675 0.838 0.750
0.838 0.162 0.250
0.838 0.675 0.250



(8)
CuRu2 | Alexandria | PBE-GGA | relaxed; energy above the lowest structure with this stoichiometry = 0.000 eV/atom; space group = No. 166; crystal system = trigonal
1.0
2.709 0.000 0.000
-1.354 2.346 0.000
0.000 0.000 19.232
Cu Ru
3 6
Direct
0.000 0.000 0.000
0.333 0.667 0.667
0.667 0.333 0.333
0.000 0.000 0.220
0.000 0.000 0.780
0.333 0.667 0.446
0.333 0.667 0.887
0.667 0.333 0.113
0.667 0.333 0.554



(9)
Cu2Ru3 | Alexandria | PBE-GGA | relaxed; space group = No. 166; crystal system = trigonal
1.0
2.683 0.000 0.000
-1.342 2.324 0.000
0.000 0.000 32.437
Cu Ru
6 9
Direct
0.000 0.000 0.100
0.000 0.000 0.900
0.333 0.667 0.566
0.333 0.667 0.767
0.667 0.333 0.233
0.667 0.333 0.434
0.000 0.000 0.301
0.000 0.000 0.500
0.000 0.000 0.699
0.333 0.667 0.167
0.333 0.667 0.366
0.333 0.667 0.968
0.667 0.333 0.032
0.667 0.333 0.634
0.667 0.333 0.833



(10)
CuRu2 | Alexandria | PBE-GGA | relaxed; energy above the lowest structure with this stoichiometry = 0.307 eV/atom; space group = No. 194; crystal system = hexagonal
1.0
4.264 0.000 0.000
-2.132 3.693 0.000
0.000 0.000 5.146
Cu Ru
2 4
Direct
0.333 0.667 0.250
0.667 0.333 0.750
0.000 0.000 0.000
0.000 0.000 0.500
0.333 0.667 0.750
0.667 0.333 0.250



(11)
CuRu3 | Alexandria | PBE-GGA | relaxed; space group = No. 166; crystal system = trigonal
1.0
8.548 0.000 0.000
-4.274 7.402 0.000
0.000 0.000 2.658
Cu Ru
3 9
Direct
0.000 0.000 0.000
0.333 0.667 0.667
0.667 0.333 0.333
0.000 0.500 0.000
0.167 0.333 0.333
0.167 0.833 0.333
0.333 0.167 0.667
0.500 0.000 0.000
0.500 0.500 0.000
0.667 0.833 0.333
0.833 0.167 0.667
0.833 0.667 0.667



(12)
Cu4Ru | Alexandria | PBE-GGA | relaxed; energy above the lowest structure with this stoichiometry = 1.220 eV/atom; space group = No. 221; crystal system = cubic
1.0
4.603 0.000 0.000
0.000 4.603 0.000
0.000 0.000 4.603
Cu Ru
4 1
Direct
0.000 0.000 0.000
0.000 0.500 0.500
0.500 0.000 0.500
0.500 0.500 0.000
0.500 0.500 0.500



| no. | magnetic moment (μB/cell) | formation energy from the elements (meV/atom) |
| --- | --- | --- |
| 1 | 0.00 | 239 |
| 2 | 2.21 | 827 |
| 3 | 0.00 | 134 |
| 4 | 0.07 | 340 |
| 5 | 0.00 | 308 |
| 6 | 0.00 | 422 |
| 7 | 5.41 | 319 |
| 8 | 0.00 | 156 |
| 9 | 0.24 | 250 |
| 10 | 0.73 | 463 |
| 11 | 7.56 | 535 |
| 12 | 1.99 | 1440 |